A relaxed Pr6Sn2Ge crystal. Source: the Alexandria database, functional PBE.

Results
E_form (eV per atom): -0.593
DOS at the Fermi energy (states/eV/atom): 1.46
Size of the total moment (μB per formula unit): 1.6

a b c (Å): 8.609 8.609 4.387
angles (deg): 90.00 90.00 120.00
Fractional coordinates of all 9 atoms:
Pr 0.000 0.405 0.000
Pr 0.000 0.745 0.500
Pr 0.255 0.255 0.500
Pr 0.405 0.000 0.000
Pr 0.595 0.595 0.000
Pr 0.745 0.000 0.500
Sn 0.333 0.667 0.500
Sn 0.667 0.333 0.500
Ge 0.000 0.000 0.000